## La2Pr2Hg (PBE-GGA)

Data for a geometry-optimized La2Pr2Hg structure.

a b c (Å): 3.812 3.812 12.032
angles (deg): 99.11 99.11 90.00
Positions (direct):
Pr 0.197 0.197 0.393
La 0.586 0.586 0.173
Pr 0.803 0.803 0.607
La 0.414 0.414 0.827
Hg 0.000 0.000 0.000

Computed properties:
Offset from the most stable computed form, meV/atom: 0
Calculated total energy, eV/atom: -4.13
Fermi-level density of states, states/eV/f.u.: 6.3
Formation energy, eV/f.u.: -1.0
Volume, Å³/atom: 34.08